Record 1
12
Lattice="6.3893 -0.0008 0.0001 -3.1938 5.5338 0.0001 -1.0657 -1.8452 6.9468" Properties=species:S:1:pos:R:3 comment="Cs3Nd2SmO6 (PBE-GGA, relaxed)" space_group="C2/m (12)" pbc="T T T"
Cs -2.1318 3.6901 3.4735
Cs 4.2617 -0.0023 3.4735
Cs 1.0649 1.8439 3.4735
Nd 0.0005 3.6890 0.0001
Nd 3.1950 1.8440 0.0001
Sm 0.0000 0.0000 0.0000
O 3.1827 1.8631 5.7728
O 2.1419 3.7086 1.1759
O -1.0528 1.8247 1.1742
O 0.0232 3.6878 5.7728
O -0.0120 -0.0208 5.7711
O 2.1067 0.0000 1.1742

***

Record 2
8
Lattice="-5.9305 -2.7796 0.0371 1.6419 -5.3636 -3.8333 3.1985 1.8694 5.4305" Properties=species:S:1:pos:R:3 comment="Cs2NdSnO4 (PBE-GGA, relaxed)" space_group="C2 (5)" pbc="T T T"
Cs -2.9497 -1.4223 0.0706
Cs 0.5495 -1.1479 1.8414
Nd -1.9315 -3.5493 3.4825
Sn -1.5991 -5.2105 -0.0710
O -1.1069 -3.6923 1.4005
O -3.4659 -4.5776 -0.6491
O -0.3503 -4.5529 -1.5635
O -3.4613 -1.9322 3.2002

***

Record 3
15
Lattice="7.1927 0.0000 0.0000 -3.5964 6.2292 -0.0239 0.0000 -4.1299 7.0303" Properties=species:S:1:pos:R:3 comment="Cs3Nd3SnO8 (PBE-GGA, relaxed)" space_group="R-3m (166)" pbc="T T T"
Cs 0.0000 0.0000 0.0000
Cs -1.7982 3.1146 -0.0120
Cs 1.7982 3.1146 -0.0120
Nd 3.5964 -2.0650 3.5152
Nd 1.7982 1.0496 3.5032
Nd -1.7982 1.0496 3.5032
Sn 0.0000 -2.0649 3.5152
O 0.0000 2.0835 2.3553
O 3.5964 0.0158 4.6511
O 3.5963 2.2807 2.3855
O 0.0000 -0.1815 4.6208
O 5.5658 -1.1301 2.3987
O -1.9694 3.2293 4.6077
O 1.6270 -1.1301 2.3987
O 1.9694 3.2293 4.6077

***

Record 4
16
Lattice="-2.5978 6.9904 1.4816 -7.1460 -2.5670 -0.3935 5.0710 -3.3375 4.7111" Properties=species:S:1:pos:R:3 comment="Cs2TbNdO4 (PBE-GGA, relaxed)" space_group="Imma (74)" pbc="T T T"
Cs -1.2989 3.4952 0.7408
Cs 1.2366 1.8264 3.0964
Cs 2.5355 -1.6688 2.3556
Cs -4.8719 2.2117 0.5440
Tb -2.3364 0.5429 2.8996
Tb 2.4732 3.6529 6.1927
Nd -3.5730 -1.2835 -0.1967
Nd -3.6353 4.0382 3.6404
O -0.8494 -3.8485 4.4552
O -1.5559 2.7024 3.5891
O -3.1168 -1.6166 2.2101
O -3.8234 4.9345 1.3441
O -2.4159 0.3792 5.3074
O -4.3894 1.6778 3.4755
O -0.2833 -0.5920 2.3237
O -2.2569 0.7066 0.4918

***

Record 5
10
Lattice="-2.7342 -5.1957 1.1301 4.0318 -3.0802 -4.4072 1.8051 0.4547 6.4577" Properties=species:S:1:pos:R:3 comment="Cs2NdTcO6 (PBE-GGA, relaxed)" space_group="P-3m1 (164)" pbc="T T T"
Cs 2.2095 -1.3656 2.9757
Cs 0.8932 -6.4557 0.2049
Nd -1.3671 -2.5979 0.5650
Tc 0.0000 0.0000 0.0000
O -1.2008 -4.4661 2.0228
O -0.1043 -4.1899 5.9456
O 2.3448 -6.0610 3.2684
O 3.2069 -3.6314 -2.7651
O 0.7578 -1.7603 -0.0879
O 4.3034 -3.3552 1.1577

***

Record 6
15
Lattice="-2.2014 4.1849 -5.3316 -2.8659 -6.4665 0.8703 -2.2384 5.6415 5.3525" Properties=species:S:1:pos:R:3 comment="Cs3Nd3TcO8 (PBE-GGA, relaxed)" space_group="R-3m (166)" pbc="T T T"
Cs 0.0000 0.0000 0.0000
Cs -1.4330 -3.2332 0.4351
Cs -2.5337 -1.1408 -2.2306
Nd -2.2199 4.9132 0.0105
Nd -3.6529 1.6800 0.4456
Nd -2.5521 -0.4125 3.1114
Tc -1.1192 2.8207 2.6763
O -2.9464 -0.5510 0.7841
O -4.3593 3.9110 0.1071
O -4.2474 1.4146 -1.8986
O -3.0584 1.9454 2.7899
O -2.6586 4.9996 -2.3811
O -4.6471 -1.6396 3.2723
O -1.4381 2.6794 0.5747
O -5.8676 0.6806 0.3165

***

Record 7
11
Lattice="6.4825 0.0000 0.0000 -3.2413 5.4883 0.0170 0.0000 -3.0281 8.0141" Properties=species:S:1:pos:R:3 comment="Cs2NdTe2O6 (PBE-GGA, relaxed)" space_group="C2/m (12)" pbc="T T T"
Cs 3.2413 2.1251 2.4037
Cs 0.0000 0.3350 5.6274
Nd 3.2413 -1.5141 4.0070
Te 3.2413 2.1904 6.2256
Te 0.0000 0.2697 1.8054
O 3.2413 0.5221 5.2566
O 1.5053 -0.4790 2.7352
O -1.7359 2.9392 5.2958
O 1.7359 2.9392 5.2958
O 4.9772 -0.4790 2.7352
O 0.0000 1.9380 2.7745

***

Record 8
20
Lattice="-7.7742 0.2799 -1.8939 2.1409 -7.6836 0.6946 0.9801 3.5337 7.1173" Properties=species:S:1:pos:R:3 comment="CsNd3Te4O12 (PBE-GGA, relaxed)" space_group="R32 (155)" pbc="T T T"
Cs 0.0000 0.0000 0.0000
Nd -3.4002 -3.2332 -0.7520
Nd -2.8819 2.0983 3.1420
Nd 1.6288 -2.7351 3.5280
Te -6.7280 1.6001 1.8100
Te 1.5596 -0.4906 6.9592
Te -1.8113 -6.9145 0.1079
Te -2.3266 -1.9350 2.9590
O -2.5107 -0.1561 3.9776
O -5.7300 -3.1999 -0.5442
O 1.5280 -5.0309 3.9653
O -2.7779 2.4259 5.4559
O -0.6601 -6.1930 1.5055
O -0.0182 0.5012 6.3878
O -6.3254 -0.1329 1.0139
O -3.1794 -5.5403 -0.0899
O 1.5017 -2.0903 5.8470
O -5.2783 1.8454 3.0896
O -3.7149 -2.4510 1.5299
O -0.7542 -3.1979 3.3695

***

Record 9
15
Lattice="-1.4706 -2.9363 6.2673 -2.3818 -2.9899 -5.9537 7.9102 -0.8375 1.4638" Properties=species:S:1:pos:R:3 comment="Cs3Nd3TiO8 (PBE-GGA, relaxed)" space_group="R-3m (166)" pbc="T T T"
Cs 0.0000 0.0000 0.0000
Cs -1.1909 -1.4950 -2.9769
Cs -1.9262 -2.9631 0.1568
Nd 3.2198 -1.8869 3.8655
Nd 2.0289 -3.3819 0.8887
Nd 2.7642 -1.9137 -2.2450
Ti 3.9551 -0.4187 0.7319
O 0.8974 -2.7502 -1.0779
O 3.1604 -4.0135 2.8552
O 0.1088 -4.4681 1.9262
O 3.9490 -2.2956 -0.1488
O 1.4564 -2.7765 5.2949
O 2.6015 -3.9872 -3.5176
O 2.2885 -1.1150 1.7487
O 1.7693 -5.6487 0.0286

***

Record 10
12
Lattice="3.9595 -0.0024 0.0101 0.0024 3.9595 0.0101 1.9493 1.9470 12.3820" Properties=species:S:1:pos:R:3 comment="Cs2NdTi2O7 (PBE-GGA, relaxed)" space_group="I4/mmm (139)" pbc="T T T"
Cs 3.9499 3.9451 4.6089
Cs 1.9613 1.9589 7.7932
Nd 0.0000 0.0000 0.0000
Ti 3.9356 3.9308 10.3189
Ti 1.9756 1.9732 2.0832
O 1.9809 1.9785 0.0101
O 1.9709 1.9685 3.8735
O 3.9403 3.9355 8.5287
O 3.9565 1.9734 1.7466
O 1.9782 3.9541 1.7466
O 3.9330 1.9499 10.6556
O 1.9547 3.9306 10.6556

***

Record 11
11
Lattice="-4.3840 0.5337 4.6403 -0.4266 -4.5027 4.5366 2.6630 1.9543 6.7129" Properties=species:S:1:pos:R:3 comment="Cs2NdTi2O6 (PBE-GGA, relaxed)" space_group="R-3m (166)" pbc="T T T"
Cs -2.0543 -1.8517 11.5375
Cs -0.0934 -0.1630 4.3523
Nd 0.0000 0.0000 0.0000
Ti -0.0603 -0.2288 8.8129
Ti -2.0873 -1.7858 7.0770
O -3.0432 -2.5638 8.3788
O -0.9458 -2.8191 6.1588
O -2.8391 -0.4095 6.2084
O 0.6915 -1.6051 9.6815
O -1.2019 0.8045 9.7311
O 0.8956 0.5491 7.5110

***

Record 12
14
Lattice="6.1268 0.0000 -0.0480 0.0000 6.1994 0.0000 -2.4601 0.0000 7.7672" Properties=species:S:1:pos:R:3 comment="CsNdTiO4 (PBE-GGA, relaxed)" space_group="P2_1/m (11)" pbc="T T T"
Cs 1.9739 4.6495 7.1829
Cs 1.6928 1.5498 0.5363
Nd 3.7988 4.6495 3.5024
Nd -0.1321 1.5498 4.2168
Ti 0.7604 4.6495 2.7015
Ti 2.9064 1.5498 5.0177
O 4.1398 2.9451 5.0919
O -0.4731 6.0448 2.6272
O -0.4731 3.2543 2.6272
O 4.1398 0.1546 5.0919
O 2.2619 4.6495 1.6548
O 1.4049 1.5498 6.0644
O 1.5158 4.6495 4.3195
O 2.1509 1.5498 3.3997

***

Number 1: uncorrected formation energy -2.5199 eV/atom. Number 2: uncorrected formation energy -1.8901 eV/atom. Number 3: uncorrected formation energy -2.3390 eV/atom. Number 4: uncorrected formation energy -2.4265 eV/atom. Number 5: uncorrected formation energy -1.8439 eV/atom. Number 6: uncorrected formation energy -2.2649 eV/atom. Number 7: uncorrected formation energy -1.6735 eV/atom. Number 8: uncorrected formation energy -1.6858 eV/atom. Number 9: uncorrected formation energy -2.5972 eV/atom. Number 10: uncorrected formation energy -2.5999 eV/atom. Number 11: uncorrected formation energy -2.5869 eV/atom. Number 12: uncorrected formation energy -2.8861 eV/atom.